DFT (PBE) results for GaSn2Pb after structural relaxation.

Lattice parameters (Å, degrees): 4.6226 4.6226 5.0588 90.00 90.00 90.00
Space group P4/mmm (No. 123)
One atom of each set of equivalent atoms:
Ga 0.0000 0.0000 0.0000
Sn 0.0000 0.5000 0.5000
Pb 0.5000 0.5000 0.0000

* size of the total moment: 0.00 μB/f.u.
* excess energy over the best structure of this formula in the dataset: 0.031 eV/atom
* D(E_F): 2.1 states/eV/f.u.
* energy relative to the elements: 25 kJ/mol of formula units
* energy: -0.266 Ry/atom

DFT (PBE) results for CoGe3S after structural relaxation.

Lattice parameters (Å, degrees): 4.8707 4.8707 4.8707 90.00 90.00 90.00
Space group Pm-3m (No. 221)
One atom of each set of equivalent atoms:
Co 0.0000 0.0000 0.0000
Ge 0.0000 0.5000 0.5000
S 0.5000 0.5000 0.5000

* size of the total moment: 2.16 μB/f.u.
* excess energy over the best structure of this formula in the dataset: 0.961 eV/atom
* D(E_F): 4.5 states/eV/f.u.
* formation energy from raw total energies: 1.03 eV/atom
* energy: -0.293 Ry/atom

DFT (PBE) results for TcHgW2 after structural relaxation.

Lattice parameters (Å, degrees): 2.9447 3.9627 5.8666 90.00 90.00 90.00
Space group Pmm2 (No. 25)
One atom of each set of equivalent atoms:
Tc 0.0000 0.0000 0.0000
Hg 0.5000 0.5000 0.7108
W 0.0000 0.0000 0.4230
W 0.5000 0.5000 0.2008

* size of the total moment: 0.00 μB/f.u.
* D(E_F): 2.8 states/eV/f.u.
* energy relative to the elements: 186 kJ/mol of formula units
* energy: -0.637 Ry/atom

DFT (PBE) results for MoOsC3 after structural relaxation.

Lattice parameters (Å, degrees): 3.9873 3.9873 3.9873 90.00 90.00 90.00
Space group Pm-3m (No. 221)
One atom of each set of equivalent atoms:
Mo 0.0000 0.0000 0.0000
Os 0.5000 0.5000 0.5000
C 0.0000 0.0000 0.5000

* size of the total moment: 0.00 μB/f.u.
* excess energy over the best structure of this formula in the dataset: 0.443 eV/atom
* D(E_F): 4.1 states/eV/f.u.
* energy relative to the elements: 1284 kJ/mol of formula units
* energy: -0.535 Ry/atom

DFT (PBE) results for La2BeCF after structural relaxation.

Lattice parameters (Å, degrees): 5.2722 5.2722 3.3542 90.00 90.00 90.00
Space group P4/mmm (No. 123)
One atom of each set of equivalent atoms:
La 0.0000 0.5000 0.0000
Be 0.0000 0.0000 0.5000
C 0.0000 0.0000 0.0000
F 0.5000 0.5000 0.5000

* size of the total moment: 0.00 μB/f.u.
* D(E_F): 3.5 states/eV/f.u.
* formation energy from raw total energies: -0.85 eV/atom
* energy: -0.425 Ry/atom

DFT (PBE) results for SrTa2Ge after structural relaxation.

Lattice parameters (Å, degrees): 4.9206 4.9206 19.1625 90.00 90.00 90.00
Space group I4_1/amd (No. 141, origin choice 2)
One atom of each set of equivalent atoms:
Sr 0.0000 0.2500 0.3750
Ta 0.0000 0.0000 0.0000
Ge 0.0000 0.2500 0.8750

* size of the total moment: 0.00 μB/f.u.
* D(E_F): 2.5 states/eV/f.u.
* energy relative to the elements: 277 kJ/mol of formula units
* energy: -0.499 Ry/atom

DFT (PBE) results for CrGe2BiPd after structural relaxation.

Lattice parameters (Å, degrees): 5.4542 5.4542 5.1241 90.00 90.00 90.00
Space group P4/mmm (No. 123)
One atom of each set of equivalent atoms:
Cr 0.0000 0.0000 0.0000
Ge 0.0000 0.5000 0.5000
Bi 0.0000 0.0000 0.5000
Pd 0.5000 0.5000 0.0000

* size of the total moment: 3.99 μB/f.u.
* D(E_F): 3.8 states/eV/f.u.
* energy relative to the elements: 681 kJ/mol of formula units
* energy: -0.307 Ry/atom

DFT (PBE) results for CsMnTeN2 after structural relaxation.

Lattice parameters (Å, degrees): 4.3936 4.3936 7.7623 90.00 90.00 90.00
Space group P4/mmm (No. 123)
One atom of each set of equivalent atoms:
Cs 0.0000 0.0000 0.0000
Mn 0.5000 0.5000 0.5000
Te 0.0000 0.0000 0.5000
N 0.0000 0.5000 0.0000

* size of the total moment: 7.10 μB/f.u.
* excess energy over the best structure of this formula in the dataset: 0.970 eV/atom
* D(E_F): 2.0 states/eV/f.u.
* formation energy from raw total energies: 2.23 eV/atom
* energy: -0.274 Ry/atom

DFT (PBE) results for PrPuPa2P4 after structural relaxation.

Lattice parameters (Å, degrees): 6.9885 4.0325 6.9888 90.00 109.50 90.00
Space group P2/m (No. 10)
One atom of each set of equivalent atoms:
Pr 0.0000 0.0000 0.0000
Pu 0.5000 0.5000 0.0000
Pa 0.0000 0.5000 0.5000
Pa 0.5000 0.0000 0.5000
P 0.2523 0.0000 0.7409
P 0.2598 0.5000 0.2646

* size of the total moment: 5.67 μB/f.u.
* D(E_F): 12.5 states/eV/f.u.
* energy relative to the elements: -1028 kJ/mol of formula units
* energy: -0.647 Ry/atom

DFT (PBE) results for K3Y2UO6 after structural relaxation.

Lattice parameters (Å, degrees): 6.0943 10.5550 6.6144 90.00 107.89 90.00
Space group C2/m (No. 12)
One atom of each set of equivalent atoms:
K 0.0000 0.0000 0.0000
K 0.0000 0.3313 0.0000
Y 0.0000 0.1666 0.5000
U 0.0000 0.5000 0.5000
O 0.2269 0.3351 0.6858
O 0.2322 0.0000 0.6859

* size of the total moment: 2.97 μB/f.u.
* D(E_F): 9.4 states/eV/f.u.
* formation energy from raw total energies: -2.54 eV/atom
* energy: -0.537 Ry/atom

DFT (PBE) results for MnAlReMo after structural relaxation.

Lattice parameters (Å, degrees): 6.0841 6.0841 6.0841 90.00 90.00 90.00
Space group F-43m (No. 216)
One atom of each set of equivalent atoms:
Mn 0.0000 0.0000 0.0000
Al 0.2500 0.2500 0.2500
Re 0.0000 0.0000 0.5000
Mo 0.2500 0.2500 0.7500

* size of the total moment: 1.05 μB/f.u.
* D(E_F): 3.7 states/eV/f.u.
* energy relative to the elements: -41 kJ/mol of formula units
* energy: -0.673 Ry/atom

DFT (PBE) results for CaTb2Pr after structural relaxation.

Lattice parameters (Å, degrees): 3.6803 3.6803 10.4122 90.00 90.00 90.00
Space group P4/mmm (No. 123)
One atom of each set of equivalent atoms:
Ca 0.0000 0.0000 0.0000
Tb 0.5000 0.5000 0.2646
Pr 0.0000 0.0000 0.5000

* size of the total moment: 0.00 μB/f.u.
* excess energy over the best structure of this formula in the dataset: 0.014 eV/atom
* D(E_F): 6.4 states/eV/f.u.
* energy relative to the elements: 28 kJ/mol of formula units
* energy: -0.289 Ry/atom

Look up the D(E_F) of the seventh one.
3.8 states/eV/f.u.

What is the D(E_F) in the fifth record?
3.5 states/eV/f.u.